(1)
{
  "formula": "CdB2Br",
  "functional": "PBE",
  "state": "optimized geometry",
  "space_group": "Fm-3m",
  "polymorph_energy_mev_per_atom": 461,
  "dos_at_fermi_per_ev_cell": 9.9,
  "cell": [[6.4925, 0.0000, 0.0000], [0.0000, 6.4925, 0.0000], [0.0000, 0.0000, 6.4925]],
  "species": ["Cd", "Cd", "Cd", "Cd", "B", "B", "B", "B", "B", "B", "B", "B", "Br", "Br", "Br", "Br"],
  "frac_coords": [[0.0000, 0.0000, 0.0000], [0.0000, 0.5000, 0.5000], [0.5000, 0.0000, 0.5000], [0.5000, 0.5000, 0.0000], [0.2500, 0.2500, 0.2500], [0.2500, 0.2500, 0.7500], [0.2500, 0.7500, 0.2500], [0.2500, 0.7500, 0.7500], [0.7500, 0.2500, 0.2500], [0.7500, 0.2500, 0.7500], [0.7500, 0.7500, 0.2500], [0.7500, 0.7500, 0.7500], [0.0000, 0.0000, 0.5000], [0.0000, 0.5000, 0.0000], [0.5000, 0.0000, 0.0000], [0.5000, 0.5000, 0.5000]]
}

(2)
{
  "formula": "CdBBr2",
  "functional": "PBE",
  "state": "optimized geometry",
  "space_group": "R-3m",
  "polymorph_energy_mev_per_atom": 683,
  "dos_at_fermi_per_ev_cell": 5.5,
  "cell": [[3.3851, 0.0000, 0.0000], [-1.6926, 2.9316, 0.0000], [0.0000, 0.0000, 29.3481]],
  "species": ["Cd", "Cd", "Cd", "B", "B", "B", "Br", "Br", "Br", "Br", "Br", "Br"],
  "frac_coords": [[0.0000, 0.0000, 0.0000], [0.3333, 0.6667, 0.6667], [0.6667, 0.3333, 0.3333], [0.0000, 0.0000, 0.5000], [0.3333, 0.6667, 0.1667], [0.6667, 0.3333, 0.8333], [0.0000, 0.0000, 0.1175], [0.0000, 0.0000, 0.8825], [0.3333, 0.6667, 0.5491], [0.3333, 0.6667, 0.7842], [0.6667, 0.3333, 0.2158], [0.6667, 0.3333, 0.4509]]
}

(3)
{
  "formula": "CdBBr2",
  "functional": "PBE",
  "state": "optimized geometry",
  "space_group": "I4_1/amd",
  "polymorph_energy_mev_per_atom": 486,
  "dos_at_fermi_per_ev_cell": 1.0,
  "cell": [[7.1458, 0.0000, 0.0000], [0.0000, 7.1458, 0.0000], [0.0000, 0.0000, 10.0906]],
  "species": ["Cd", "Cd", "Cd", "Cd", "B", "B", "B", "B", "Br", "Br", "Br", "Br", "Br", "Br", "Br", "Br"],
  "frac_coords": [[0.0000, 0.2500, 0.3750], [0.0000, 0.7500, 0.6250], [0.5000, 0.2500, 0.1250], [0.5000, 0.7500, 0.8750], [0.0000, 0.2500, 0.8750], [0.0000, 0.7500, 0.1250], [0.5000, 0.2500, 0.6250], [0.5000, 0.7500, 0.3750], [0.0000, 0.0000, 0.0000], [0.0000, 0.5000, 0.0000], [0.2500, 0.2500, 0.7500], [0.2500, 0.7500, 0.2500], [0.5000, 0.0000, 0.5000], [0.5000, 0.5000, 0.5000], [0.7500, 0.2500, 0.7500], [0.7500, 0.7500, 0.2500]]
}

| no. | ΔE_f (raw) (eV/atom) |
| --- | --- |
| 1 | 1.94 |
| 2 | 0.62 |
| 3 | 0.43 |